DFT (GGA+U) results for MnAg2F6 after structural relaxation.

The value obtained for the raw total energy is -79.91 eV for the cell shown. The polymorph energy (0 for the lowest one) is 0.00 kcal/mol of atoms.

It has space group P4_2/mnm (No. 136), with a = 5.163 Å, b = 5.163 Å, c = 10.305 Å, α = 90.00°, β = 90.00° and γ = 90.00°. The inequivalent atoms are Mn at (0.000, 0.000, 0.000), Ag at (0.000, 0.000, 0.340), F at (0.178, 0.178, 0.134) and F at (0.243, 0.243, 0.500).